Material: YTi2Mn2
Method: DFT, PBE-GGA
State: optimized geometry

Results
- Calculated formation energy: 0.6 eV/f.u.
- Fermi-level density of states: 9.50 states/eV/cell
- Excess energy over the best structure of this formula in the dataset: 3.6 kJ per mole of atoms
- Space-group type: No. 127

Cell and atoms, written as extended XYZ:
```
10
Lattice="-6.268 -1.330 4.263 -3.145 -3.901 -5.841 1.209 -2.478 1.004" Properties=species:S:1:pos:R:3 pbc="T T T"
Mn -2.083 -2.272 1.188
Mn -6.121 -5.438 -1.762
Mn -2.315 -3.938 -2.645
Mn -5.889 -3.771 2.070
Ti -7.409 -3.637 -0.054
Ti -2.004 -1.595 -1.524
Ti -4.978 -3.844 -3.492
Ti -4.435 -1.388 1.914
Y -4.707 -2.616 -0.789
Y 0.000 0.000 0.000
```



Material: YTiMn
Method: DFT, PBE-GGA
State: optimized geometry

Results
- Calculated formation energy: 0.5 eV/f.u.
- Fermi-level density of states: 13.26 states/eV/cell
- Space-group type: No. 14

Cell and atoms, written as extended XYZ:
```
12
Lattice="5.804 0.000 -0.429 0.000 6.094 0.000 -2.187 0.000 7.059" Properties=species:S:1:pos:R:3 pbc="T T T"
Mn 0.469 3.454 5.441
Mn 4.464 5.687 1.697
Mn 3.148 2.640 1.189
Mn -0.848 0.407 4.933
Y 0.141 2.195 2.679
Y 1.667 5.242 0.636
Y 3.476 3.899 3.951
Y 1.949 0.852 5.994
Ti -0.943 2.130 6.687
Ti 0.564 5.177 3.687
Ti 4.559 3.964 -0.057
Ti 3.053 0.917 2.943
```



Material: YTiMn3
Method: DFT, PBE-GGA
State: optimized geometry

Results
- Calculated formation energy: 2.9 eV/f.u.
- Fermi-level density of states: 6.58 states/eV/cell
- Excess energy over the best structure of this formula in the dataset: 0.0 kJ per mole of atoms
- Space-group type: No. 221

Cell and atoms, written as extended XYZ:
```
5
Lattice="4.571 0.000 0.000 0.000 4.571 0.000 0.000 0.000 4.571" Properties=species:S:1:pos:R:3 pbc="T T T"
Mn 0.000 2.286 0.000
Mn 0.000 0.000 2.286
Mn 2.286 0.000 0.000
Y 2.286 2.286 2.286
Ti 0.000 0.000 0.000
```



Material: YTiMn2
Method: DFT, PBE-GGA
State: optimized geometry

Results
- Calculated formation energy: 0.8 eV/f.u.
- Fermi-level density of states: 6.57 states/eV/cell
- Excess energy over the best structure of this formula in the dataset: 0.0 kJ per mole of atoms
- Space-group type: No. 225

Cell and atoms, written as extended XYZ:
```
4
Lattice="0.070 1.959 4.187 -2.397 -1.886 3.475 2.223 -2.072 3.484" Properties=species:S:1:pos:R:3 pbc="T T T"
Y -0.052 -1.000 5.573
Mn -0.026 -0.500 2.787
Mn -0.078 -1.500 8.360
Ti 0.000 0.000 0.000
```



Material: Y2TiMn2
Method: DFT, PBE-GGA
State: optimized geometry

Results
- Calculated formation energy: 0.9 eV/f.u.
- Fermi-level density of states: 11.50 states/eV/cell
- Space-group type: No. 127

Cell and atoms, written as extended XYZ:
```
10
Lattice="6.871 0.000 0.000 0.000 6.871 0.000 0.000 0.000 4.483" Properties=species:S:1:pos:R:3 pbc="T T T"
Mn 0.909 2.527 0.000
Mn 5.962 4.344 0.000
Mn 2.527 5.962 0.000
Mn 4.344 0.909 0.000
Y 1.186 4.621 2.241
Y 4.621 5.686 2.241
Y 5.686 2.250 2.241
Y 2.250 1.186 2.241
Ti 0.000 0.000 0.000
Ti 3.436 3.436 0.000
```



Material: YTiMn2
Method: DFT, PBE-GGA
State: optimized geometry

Results
- Calculated formation energy: 2.5 eV/f.u.
- Fermi-level density of states: 11.52 states/eV/cell
- Excess energy over the best structure of this formula in the dataset: 40.5 kJ per mole of atoms
- Space-group type: No. 141

Cell and atoms, written as extended XYZ:
```
8
Lattice="-1.930 -0.859 -3.943 2.638 -3.576 -0.512 -5.221 -6.866 1.514" Properties=species:S:1:pos:R:3 pbc="T T T"
Ti 0.354 -2.218 -2.228
Ti -1.115 -6.330 -0.613
Mn -3.957 -8.136 -2.635
Mn -2.991 -7.707 -0.664
Mn -0.381 -4.274 -1.421
Mn -1.699 -2.485 -1.164
Y -3.399 -4.971 -2.329
Y 0.000 0.000 0.000
```